(1)
KReSb2, relaxed, DFT PBE-GGA; calculated total energy = -5.10 eV per atom; relative energy among the computed polymorphs = 0.294 eV/atom
1.0
-0.507 -3.061 -6.084
4.253 -4.908 2.115
-3.814 -7.866 0.442
Re K Sb
2 2 4
direct
0.000 0.000 0.000
0.750 0.250 0.500
0.500 0.500 0.000
0.250 0.750 0.500
0.873 0.125 0.250
0.877 0.625 0.250
0.375 0.127 0.750
0.875 0.123 0.750

(2)
Pm5Nd6Tl, relaxed, DFT PBE-GGA; formation energy from the elements = -0.04 eV/atom; calculated total energy = -4.60 eV per atom
1.0
4.895 -0.001 -1.370
-3.469 8.471 -2.992
0.062 0.205 9.628
Tl Nd Pm
1 6 5
direct
0.000 0.000 0.000
0.244 0.080 0.409
0.756 0.591 0.920
0.744 0.244 0.244
0.256 0.756 0.756
0.244 0.409 0.080
0.756 0.920 0.591
0.500 0.169 0.831
0.000 0.337 0.663
0.500 0.500 0.500
0.000 0.663 0.337
0.500 0.831 0.169

(3)
Cu2OsAu, relaxed, DFT PBE-GGA; formation energy from the elements = 0.61 eV/atom; calculated total energy = -5.07 eV per atom; relative energy among the computed polymorphs = 0.380 eV/atom
1.0
-3.302 -0.265 2.827
-1.680 -3.884 1.029
0.657 -1.676 3.966
Au Cu Os
1 2 1
direct
0.500 0.500 0.500
0.000 0.000 0.000
0.250 0.250 0.250
0.750 0.750 0.750

(4)
Te2OsNCl, relaxed, DFT PBE-GGA; calculated total energy = -4.14 eV per atom; relative energy among the computed polymorphs = 1.024 eV/atom
1.0
-0.665 -4.267 1.930
0.677 -1.725 -3.580
4.615 -0.266 1.001
N Te Os Cl
1 2 1 1
direct
0.000 0.000 0.000
0.000 0.000 0.500
0.500 0.000 0.000
0.500 0.500 0.500
0.000 0.500 0.000

(5)
KCoSb2, relaxed, DFT PBE-GGA; calculated total energy = -4.15 eV per atom; relative energy among the computed polymorphs = 0.140 eV/atom
1.0
-8.056 3.337 -1.598
-7.920 2.341 3.221
8.820 -0.524 -0.718
Co K Sb
1 1 2
direct
0.544 0.544 0.000
0.313 0.813 0.500
0.985 0.985 0.000
0.659 0.159 0.500

(6)
YPaB12, relaxed, DFT PBE-GGA; formation energy from the elements = -0.38 eV/atom; calculated total energy = -7.24 eV per atom
1.0
-2.206 2.734 -2.080
-3.355 -2.246 0.607
-1.479 4.082 6.934
Y Pa B
1 1 12
direct
0.000 0.000 0.500
0.000 0.000 0.000
0.198 0.500 0.249
0.198 0.500 0.751
0.500 0.500 0.401
0.500 0.500 0.902
0.500 0.198 0.249
0.500 0.198 0.751
0.500 0.500 0.098
0.500 0.500 0.599
0.500 0.802 0.249
0.500 0.802 0.751
0.802 0.500 0.249
0.802 0.500 0.751

(7)
CaBeCr2, relaxed, DFT PBE-GGA; formation energy from the elements = 0.75 eV/atom; calculated total energy = -5.49 eV per atom
1.0
4.093 0.000 0.000
0.000 3.797 0.000
0.000 0.000 4.430
Cr Ca Be
2 1 1
direct
0.000 0.000 0.000
0.500 0.500 0.000
0.000 0.500 0.500
0.500 0.000 0.500

(8)
ReP, relaxed, DFT PBE-GGA; formation energy from the elements = -0.09 eV/atom; calculated total energy = -9.02 eV per atom; relative energy among the computed polymorphs = 0.198 eV/atom
1.0
-2.390 0.848 -1.691
4.634 -5.947 -9.530
-2.506 -4.228 1.420
Re P
6 6
direct
0.000 0.314 0.885
0.000 0.686 0.885
0.000 0.814 0.385
0.000 0.186 0.385
0.500 0.000 0.542
0.500 0.500 0.042
0.500 0.829 0.752
0.500 0.171 0.752
0.500 0.329 0.252
0.500 0.671 0.252
0.000 0.000 0.185
0.000 0.500 0.685

(9)
La2AsIrC, relaxed, DFT PBE-GGA; formation energy from the elements = -0.74 eV/atom; calculated total energy = -7.26 eV per atom
1.0
-1.048 0.676 -5.245
1.383 -5.126 -0.937
-3.660 -1.095 0.590
As Ir C La
1 1 1 2
direct
0.500 0.500 0.500
0.000 0.000 0.500
0.000 0.000 0.000
0.000 0.500 0.000
0.500 0.000 0.000

(10)
InPt2Au, relaxed, DFT PBE-GGA; formation energy from the elements = -0.25 eV/atom; calculated total energy = -4.78 eV per atom
1.0
4.865 -0.003 -0.003
-1.323 4.681 -0.003
0.001 0.001 3.045
Au Pt In
1 2 1
direct
0.500 0.000 0.500
0.000 0.000 0.000
0.500 0.500 0.000
0.000 0.500 0.500

(11)
AsHRh3, relaxed, DFT PBE-GGA; calculated total energy = -4.92 eV per atom; relative energy among the computed polymorphs = 1.225 eV/atom
1.0
4.551 0.000 0.000
0.000 4.551 0.000
0.000 0.000 4.551
H As Rh
1 1 3
direct
0.500 0.500 0.500
0.000 0.000 0.000
0.000 0.500 0.000
0.000 0.000 0.500
0.500 0.000 0.000

(12)
LaZnPb2, relaxed, DFT PBE-GGA; formation energy from the elements = -0.08 eV/atom; calculated total energy = -3.49 eV per atom
1.0
-0.740 -4.725 0.875
4.291 -1.048 -2.030
6.462 -1.882 8.811
Pb Zn La
4 2 2
direct
0.578 0.125 0.250
0.172 0.625 0.250
0.375 0.422 0.750
0.875 0.828 0.750
0.500 0.500 0.000
0.250 0.750 0.500
0.000 0.000 0.000
0.750 0.250 0.500

| no. | ρ (Mg/m³) |
| --- | --- |
| 1 | 4.57 |
| 2 | 7.38 |
| 3 | 14.62 |
| 4 | 9.11 |
| 5 | 5.55 |
| 6 | 5.48 |
| 7 | 3.69 |
| 8 | 11.42 |
| 9 | 8.23 |
| 10 | 16.81 |
| 11 | 6.78 |
| 12 | 8.25 |